No. 1
# Tb6NdHo4

Tb6NdHo4 after structural relaxation (PBE-GGA, the Alexandria database).

Unit cell a=7.5711 b=7.5711 c=13.2107 alpha=90.00 beta=90.00 gamma=90.00
With the nearest neighbours (Å) after each atom.
Space group I-42m (No. 121)
Asymmetric unit:
Tb: 0.0000 0.5000 0.0000  4 Ho 3.02
Tb: 0.2387 0.2387 0.1869  1 Ho 3.20, 1 Nd 3.55
Nd: 0.0000 0.0000 0.0000  8 Tb 3.55-3.79, 4 Ho 3.75
Ho: 0.1633 0.1633 0.4216  3 Tb 3.02-3.20, 2 Ho 3.23

Values from the calculation:
Formation energy = 4.62 eV/f.u.
Crystal system = tetragonal
Energy relative to the lowest polymorph listed for this composition = 296 meV/atom

No. 2
# Tb2Nd2Ho

Tb2Nd2Ho after structural relaxation (PBE-GGA, the Alexandria database).

Unit cell a=3.6519 b=5.7525 c=31.9327 alpha=90.00 beta=90.00 gamma=90.00
With the nearest neighbours (Å) after each atom.
Space group Imma (No. 74)
Asymmetric unit:
Tb: 0.0000 0.2500 0.1954  6 Tb 3.43-3.65, 2 Nd 3.73
Tb: 0.0000 0.2500 0.7086  6 Tb 3.21-3.43, 2 Nd 3.34
Nd: 0.0000 0.2500 0.8790  1 Nd 3.16, 2 Tb 3.34
Nd: 0.0000 0.2500 0.9780  3 Nd 3.16-3.20
Ho: 0.0000 0.2500 0.4195  10 Nd 3.64-3.89, 2 Ho 3.65

Values from the calculation:
Formation energy = 0.67 eV/f.u.
Crystal system = orthorhombic
Energy relative to the lowest polymorph listed for this composition = 111 meV/atom

No. 3
# Tb2Nd6Ho5

Tb2Nd6Ho5 after structural relaxation (PBE-GGA, the Alexandria database).

Unit cell a=11.7416 b=20.5662 c=3.6287 alpha=90.00 beta=90.00 gamma=90.00
With the nearest neighbours (Å) after each atom.
Space group Pbam (No. 55)
Asymmetric unit:
Tb: 0.1660 0.2114 0.0000  3 Nd 3.36-3.68, 6 Ho 3.55-3.70, 2 Tb 3.63
Nd: 0.0596 0.9204 0.0000  6 Ho 3.53-3.70, 5 Nd 3.56-3.78, 1 Tb 3.79
Nd: 0.0824 0.6332 0.0000  1 Tb 3.36, 6 Ho 3.43-3.53, 4 Nd 3.52-3.63
Nd: 0.1741 0.3670 0.5000  2 Ho 3.33-3.42, 4 Nd 3.52-3.63, 2 Tb 3.68
Ho: 0.0000 0.5000 0.5000  6 Nd 3.42-3.43, 4 Ho 3.63-3.72
Ho: 0.0930 0.7744 0.5000  5 Nd 3.33-3.53, 4 Tb 3.55-3.60, 2 Ho 3.63
Ho: 0.1987 0.0555 0.5000  6 Nd 3.53-3.70, 3 Ho 3.63-3.72, 2 Tb 3.70

Values from the calculation:
Formation energy = 1.32 eV/f.u.
Crystal system = orthorhombic

No. 4
# Tb2Nd9Ho

Tb2Nd9Ho after structural relaxation (PBE-GGA, the Alexandria database).

Unit cell a=5.1578 b=5.1578 c=15.4726 alpha=90.00 beta=90.00 gamma=90.00
With the nearest neighbours (Å) after each atom.
Space group P4/mmm (No. 123)
Asymmetric unit:
Tb: 0.0000 0.0000 0.1670  12 Nd 3.65
Nd: 0.0000 0.5000 0.0000  8 Nd 3.65, 4 Tb 3.65
Nd: 0.0000 0.5000 0.3337  2 Ho 3.64, 8 Nd 3.64-3.65, 2 Tb 3.65
Nd: 0.5000 0.5000 0.1669  4 Tb 3.65, 8 Nd 3.65
Nd: 0.5000 0.5000 0.5000  8 Nd 3.64, 4 Ho 3.65
Ho: 0.0000 0.0000 0.5000  12 Nd 3.64-3.65

Values from the calculation:
Formation energy = 0.18 eV/f.u.
Crystal system = tetragonal

No. 5
# Tb2Nd3HoTe6

Tb2Nd3HoTe6 after structural relaxation (PBE-GGA, the Alexandria database).

Unit cell a=19.3912 b=4.3858 c=8.9515 alpha=90.00 beta=104.41 gamma=90.00
With the nearest neighbours (Å) after each atom.
Space group C2/m (No. 12)
Asymmetric unit:
Tb: 0.1675 0.0000 0.3341  6 Te 3.08-3.11
Nd: 0.0000 0.5000 0.5000  6 Te 3.17-3.19
Nd: 0.1679 0.0000 0.8329  6 Te 3.17-3.20
Ho: 0.0000 0.5000 0.0000  6 Te 3.06-3.07
Te: 0.0021 0.0000 0.2417  2 Ho 3.07, 1 Tb 3.11, 3 Nd 3.19-3.20
Te: 0.1629 0.5000 0.0881  1 Ho 3.06, 2 Tb 3.09, 3 Nd 3.18
Te: 0.1686 0.5000 0.5769  3 Tb 3.08, 3 Nd 3.17

Values from the calculation:
Crystal system = monoclinic
Energy relative to the elements, uncorrected = -1.36 eV/atom

No. 6
# Tb3NdHo2Te6

Tb3NdHo2Te6 after structural relaxation (PBE-GGA, the Alexandria database).

Unit cell a=19.0678 b=4.3533 c=8.8178 alpha=90.00 beta=102.72 gamma=90.00
With the nearest neighbours (Å) after each atom.
Space group C2/m (No. 12)
Asymmetric unit:
Tb: 0.0000 0.0000 0.0000  6 Te 3.05-3.14
Tb: 0.1609 0.5000 0.3343  6 Te 3.04-3.13
Nd: 0.0000 0.0000 0.5000  6 Te 3.14-3.20
Ho: 0.1639 0.5000 0.8304  6 Te 3.01-3.11
Te: 0.0023 0.5000 0.7583  1 Ho 3.01, 3 Tb 3.04-3.05, 2 Nd 3.14
Te: 0.1687 0.0000 0.0830  3 Ho 3.10-3.11, 3 Tb 3.13-3.14
Te: 0.1718 0.0000 0.5891  2 Ho 3.07, 3 Tb 3.10-3.11, 1 Nd 3.20

Values from the calculation:
Crystal system = monoclinic
Energy relative to the elements, uncorrected = -1.31 eV/atom

| no. | total magnetization (μB per formula unit) | electronic total energy (eV per cell) |
| --- | --- | --- |
| 1 | 0.0 | -92.47 |
| 2 | 0.0 | -90.82 |
| 3 | 0.0 | -118.87 |
| 4 | 0.0 | -56.57 |
| 5 | 0.0 | -126.62 |
| 6 | 0.0 | -124.71 |